# AuSe | Alexandria | PBE | optimized geometry
data_AuSe
_cell_length_a 4.0929
_cell_length_b 4.0929
_cell_length_c 6.9775
_cell_angle_alpha 90.00
_cell_angle_beta 90.00
_cell_angle_gamma 120.00
_symmetry_space_group_name_H-M 'P -3 m 1'
_symmetry_Int_Tables_number 164
_symmetry_space_group_name_Hall '-P 3 2"'
loop_
_atom_site_label
_atom_site_type_symbol
_atom_site_fract_x
_atom_site_fract_y
_atom_site_fract_z
Au1 Au 0.3333 0.6667 0.1313
Se1 Se 0.3333 0.6667 0.7171
# M_tot, μB/f.u.: 0.00
# E_form (uncorrected), kJ/mol of formula units: 40
# DOS at the Fermi energy, states/eV/cell: 3.63
# Volume, Å³ per cell: 101
# Density, kg/m³: 9053

# AuSe | Alexandria | PBE | optimized geometry
data_AuSe
_cell_length_a 9.158
_cell_length_b 3.746
_cell_length_c 6.458
_cell_angle_alpha 90.00
_cell_angle_beta 104.39
_cell_angle_gamma 90.00
_symmetry_space_group_name_H-M 'C 1 2/m 1'
_symmetry_Int_Tables_number 12
_symmetry_space_group_name_Hall '-C 2y'
loop_
_atom_site_label
_atom_site_type_symbol
_atom_site_fract_x
_atom_site_fract_y
_atom_site_fract_z
Au1 Au 0.000 0.000 0.000
Au2 Au 0.000 0.500 0.500
Se1 Se 0.142 0.000 0.726
# M_tot, μB/f.u.: 0.00
# E_form (uncorrected), kJ/mol of formula units: -19
# DOS at the Fermi energy, states/eV/cell: 0.04
# Volume, Å³ per cell: 215
# Density, kg/m³: 8542

# AuSe | Alexandria | PBE | optimized geometry
data_AuSe
_cell_length_a 4.9203
_cell_length_b 4.9203
_cell_length_c 8.0938
_cell_angle_alpha 90.00
_cell_angle_beta 90.00
_cell_angle_gamma 120.00
_symmetry_space_group_name_H-M 'P 63/m m c'
_symmetry_Int_Tables_number 194
_symmetry_space_group_name_Hall '-P 6c 2c'
loop_
_atom_site_label
_atom_site_type_symbol
_atom_site_fract_x
_atom_site_fract_y
_atom_site_fract_z
Au1 Au 0.3333 0.6667 0.0796
Se1 Se 0.0000 0.0000 0.2500
Se2 Se 0.3333 0.6667 0.7500
# M_tot, μB/f.u.: 0.00
# E_form (uncorrected), kJ/mol of formula units: 85
# DOS at the Fermi energy, states/eV/cell: 2.70
# Volume, Å³ per cell: 170
# Density, kg/m³: 10800

# Au3Se | Alexandria | PBE | optimized geometry
data_Au3Se
_cell_length_a 5.304
_cell_length_b 6.918
_cell_length_c 4.893
_cell_angle_alpha 90.00
_cell_angle_beta 90.00
_cell_angle_gamma 90.00
_symmetry_space_group_name_H-M 'P m m n'
_symmetry_Int_Tables_number 59
loop_
_symmetry_equiv_pos_as_xyz
'x,y,z'
'-x,-y,-z'
'-x+1/2,-y+1/2,z'
'x+1/2,y+1/2,-z'
'x+1/2,-y,-z'
'-x+1/2,y,z'
'-x,y+1/2,-z'
'x,-y+1/2,z'
loop_
_atom_site_label
_atom_site_type_symbol
_atom_site_fract_x
_atom_site_fract_y
_atom_site_fract_z
Au1 Au 0.250 0.048 0.098
Au2 Au 0.250 0.250 0.611
Se1 Se 0.250 0.750 0.392
# M_tot, μB/f.u.: 0.00
# E_form (uncorrected), kJ/mol of formula units: 50
# DOS at the Fermi energy, states/eV/cell: 4.46
# Volume, Å³ per cell: 180
# Density, kg/m³: 12392

# Au2Se | Alexandria | PBE | optimized geometry
data_Au2Se
_cell_length_a 3.9702
_cell_length_b 3.9702
_cell_length_c 9.2201
_cell_angle_alpha 90.00
_cell_angle_beta 90.00
_cell_angle_gamma 120.00
_symmetry_space_group_name_H-M 'P 63/m m c'
_symmetry_Int_Tables_number 194
_symmetry_space_group_name_Hall '-P 6c 2c'
loop_
_atom_site_label
_atom_site_type_symbol
_atom_site_fract_x
_atom_site_fract_y
_atom_site_fract_z
Au1 Au 0.3333 0.6667 0.0847
Se1 Se 0.0000 0.0000 0.2500
# M_tot, μB/f.u.: 0.00
# E_form (uncorrected), kJ/mol of formula units: 45
# DOS at the Fermi energy, states/eV/cell: 3.70
# Volume, Å³ per cell: 126
# Density, kg/m³: 12478

# Au2Se | Alexandria | PBE | optimized geometry
data_Au2Se
_cell_length_a 10.072
_cell_length_b 3.658
_cell_length_c 7.753
_cell_angle_alpha 90.00
_cell_angle_beta 96.14
_cell_angle_gamma 90.00
_symmetry_space_group_name_H-M 'C 1 2/m 1'
_symmetry_Int_Tables_number 12
_symmetry_space_group_name_Hall '-C 2y'
loop_
_atom_site_label
_atom_site_type_symbol
_atom_site_fract_x
_atom_site_fract_y
_atom_site_fract_z
Au1 Au 0.091 0.000 0.348
Au2 Au 0.114 0.500 0.648
Se1 Se 0.225 0.500 0.191
# M_tot, μB/f.u.: 0.00
# E_form (uncorrected), kJ/mol of formula units: 26
# DOS at the Fermi energy, states/eV/cell: 2.41
# Volume, Å³ per cell: 284
# Density, kg/m³: 11059

# AuSe5 | Alexandria | PBE | optimized geometry
data_AuSe5
_cell_length_a 6.4391
_cell_length_b 6.4391
_cell_length_c 3.6845
_cell_angle_alpha 90.00
_cell_angle_beta 90.00
_cell_angle_gamma 120.00
_symmetry_space_group_name_H-M 'P -6 2 m'
_symmetry_Int_Tables_number 189
_symmetry_space_group_name_Hall 'P -6 -2'
loop_
_atom_site_label
_atom_site_type_symbol
_atom_site_fract_x
_atom_site_fract_y
_atom_site_fract_z
Au1 Au 0.0000 0.0000 0.0000
Se1 Se 0.0000 0.6710 0.5000
Se2 Se 0.3333 0.6667 0.0000
# M_tot, μB/f.u.: 0.00
# E_form (uncorrected), kJ/mol of formula units: 197
# ΔE to the lowest computed polymorph, eV per formula unit: 1.51
# DOS at the Fermi energy, states/eV/cell: 4.57
# Volume, Å³ per cell: 132
# Density, kg/m³: 7428

# AuSe7 | Alexandria | PBE | optimized geometry
data_AuSe7
_cell_length_a 8.690
_cell_length_b 8.690
_cell_length_c 8.690
_cell_angle_alpha 90.00
_cell_angle_beta 90.00
_cell_angle_gamma 90.00
_symmetry_space_group_name_H-M 'F m -3 m'
_symmetry_Int_Tables_number 225
_symmetry_space_group_name_Hall '-F 4 2 3'
loop_
_atom_site_label
_atom_site_type_symbol
_atom_site_fract_x
_atom_site_fract_y
_atom_site_fract_z
Au1 Au 0.000 0.000 0.000
Se1 Se 0.000 0.000 0.500
Se2 Se 0.000 0.250 0.250
# M_tot, μB/f.u.: 0.00
# E_form (uncorrected), kJ/mol of formula units: 554
# DOS at the Fermi energy, states/eV/cell: 38.70
# Volume, Å³ per cell: 656
# Density, kg/m³: 7589